(1)
Entry from the Alexandria database: a PBEsol-optimized structure of BeGa3Si (meta-GGA SCAN).

The structure in extended XYZ format:
```
5
Lattice="4.4043 0.0000 0.0000 0.0000 4.4043 0.0000 0.0000 0.0000 4.4043" Properties=species:S:1:pos:R:3 pbc="T T T"
Be 0.0000 0.0000 0.0000
Ga 0.0000 0.0000 2.2022
Ga 0.0000 2.2022 0.0000
Ga 2.2022 0.0000 0.0000
Si 2.2022 2.2022 2.2022
```

Summary:
- Formation energy from raw total energies: 0.61 eV per atom
- M_tot: 0.00 Bohr magnetons per cell
- Density of states at the Fermi level: 2.4 states/eV/cell
- Space group: Pm-3m, No. 221


(2)
Entry from the Alexandria database: a PBEsol-optimized structure of KLi2Tc (meta-GGA SCAN).

The structure in extended XYZ format:
```
4
Lattice="2.6027 0.0000 0.0000 0.0000 4.3346 0.0000 0.0000 0.0000 7.9347" Properties=species:S:1:pos:R:3 pbc="T T T"
K 0.0000 0.0000 0.0000
Li 0.0000 0.0000 4.5740
Li 1.3014 2.1673 3.0683
Tc 1.3014 2.1673 5.5933
```

Summary:
- M_tot: 1.42 Bohr magnetons per cell
- Calculated formation energy: 2.987 eV per formula unit
- Density of states at the Fermi level: 2.5 states/eV/cell
- Space group: Pmm2, No. 25
- Energy relative to the lowest polymorph listed for this composition: 0.000 eV/atom


VASP energy (computed, eV per atom): -12.071, -11.295